Entry from Alexandria: crystalline BeTc at its relaxed geometry (GGA-PBE).

The structure in POSCAR format:
```
BeTc
1.0
-1.543 -2.041 0.285
2.749 -1.847 1.655
-1.155 0.323 2.279
Tc Be
1 1
direct
0.516 0.016 0.181
0.016 0.516 0.681
```

---

Entry from Alexandria: crystalline BeTc at its relaxed geometry (GGA-PBE).

The structure in POSCAR format:
```
BeTc
1.0
8.405 0.000 0.000
0.000 8.405 0.000
0.000 0.000 2.806
Tc Be
8 8
direct
0.651 0.124 0.500
0.151 0.624 0.000
0.876 0.651 0.500
0.624 0.849 0.000
0.849 0.376 0.000
0.376 0.151 0.000
0.124 0.349 0.500
0.349 0.876 0.500
0.156 0.077 0.500
0.656 0.577 0.000
0.844 0.923 0.500
0.923 0.156 0.500
0.577 0.344 0.000
0.077 0.844 0.500
0.423 0.656 0.000
0.344 0.423 0.000
```

---

Entry from Alexandria: crystalline BeTc5 at its relaxed geometry (GGA-PBE).

The structure in POSCAR format:
```
BeTc5
1.0
2.455 -4.253 0.000
2.455 4.253 0.000
0.000 0.000 4.627
Tc Be
5 1
direct
0.000 0.500 0.500
0.500 0.500 0.500
0.333 0.667 0.000
0.500 0.000 0.500
0.667 0.333 0.000
0.000 0.000 0.000
```

---

Number 1: ΔE_f 0.1 eV per formula unit, energy relative to the lowest polymorph listed for this composition 27.2 kJ/mol of atoms, spin magnetization 0.00 μB/atom. Number 2: ΔE_f 0.5 eV per formula unit, energy relative to the lowest polymorph listed for this composition 48.5 kJ/mol of atoms, spin magnetization 0.00 μB/atom. Number 3: ΔE_f 4.1 eV per formula unit, energy relative to the lowest polymorph listed for this composition 66.9 kJ/mol of atoms, spin magnetization 0.00 μB/atom.